! La12SnPb3 (PBE-GGA, relaxed); values from VASP
&SYSTEM
  ibrav = 0, nat = 16, ntyp = 3
/
ATOMIC_SPECIES
La 138.91 La.upf
Sn 118.71 Sn.upf
Pb 207.20 Pb.upf
ATOMIC_POSITIONS angstrom
La 0.000 0.000 0.000
La 0.000 0.000 5.032
La 0.000 0.000 10.119
La 0.000 0.000 15.205
La 0.000 2.534 2.484
La 0.000 2.534 7.576
La 0.000 2.534 12.661
La 0.000 2.534 17.754
La 2.534 0.000 2.484
La 2.534 0.000 7.576
La 2.534 0.000 12.661
La 2.534 0.000 17.754
Sn 2.534 2.534 0.000
Pb 2.534 2.534 5.041
Pb 2.534 2.534 10.119
Pb 2.534 2.534 15.197
CELL_PARAMETERS angstrom
5.068 0.000 0.000
0.000 5.068 0.000
0.000 0.000 20.238
! - calculated density (g/cm³) = 7.691
! - ΔE_f (eV per atom) = -0.415
! - DOS(E_F) (states/eV/cell) = 23.778

***

! La2SnPb (PBE-GGA, relaxed); values from VASP
&SYSTEM
  ibrav = 0, nat = 4, ntyp = 3
/
ATOMIC_SPECIES
La 138.91 La.upf
Sn 118.71 Sn.upf
Pb 207.20 Pb.upf
ATOMIC_POSITIONS angstrom
La 0.000 0.000 2.250
La 0.000 0.000 7.044
Sn 1.820 1.820 0.000
Pb 1.820 1.820 4.647
CELL_PARAMETERS angstrom
3.640 0.000 0.000
0.000 3.640 0.000
0.000 0.000 9.293
! - calculated density (g/cm³) = 8.142
! - ΔE_f (eV per atom) = -0.664
! - DOS(E_F) (states/eV/cell) = 3.900

***

! La5SnPb4 (PBE-GGA, relaxed); values from VASP
&SYSTEM
  ibrav = 0, nat = 10, ntyp = 3
/
ATOMIC_SPECIES
La 138.91 La.upf
Sn 118.71 Sn.upf
Pb 207.20 Pb.upf
ATOMIC_POSITIONS angstrom
La 0.000 0.000 0.000
La 0.000 0.000 4.670
La 0.000 0.000 9.386
La 0.000 0.000 13.839
La 0.000 0.000 18.556
Sn 1.836 1.836 11.613
Pb 1.836 1.836 2.336
Pb 1.836 1.836 7.011
Pb 1.836 1.836 16.214
Pb 1.836 1.836 20.889
CELL_PARAMETERS angstrom
3.672 0.000 0.000
0.000 3.672 0.000
0.000 0.000 23.225
! - calculated density (g/cm³) = 8.707
! - ΔE_f (eV per atom) = -0.617
! - DOS(E_F) (states/eV/cell) = 9.567

***

! La2SnPb4 (PBE-GGA, relaxed); values from VASP
&SYSTEM
  ibrav = 0, nat = 7, ntyp = 3
/
ATOMIC_SPECIES
La 138.91 La.upf
Sn 118.71 Sn.upf
Pb 207.20 Pb.upf
ATOMIC_POSITIONS angstrom
La 2.400 2.421 0.000
La 2.400 -2.421 0.000
Sn 0.000 0.000 0.000
Pb -2.382 0.000 2.463
Pb 0.018 2.421 2.463
Pb 0.018 -2.421 2.463
Pb 2.418 0.000 2.463
CELL_PARAMETERS angstrom
4.800 -4.842 0.000
4.800 4.842 0.000
-4.765 0.000 4.926
! - calculated density (g/cm³) = 8.884
! - ΔE_f (eV per atom) = -0.405
! - DOS(E_F) (states/eV/cell) = 5.054

***

! La12Sn3Pb (PBE-GGA, relaxed); values from VASP
&SYSTEM
  ibrav = 0, nat = 16, ntyp = 3
/
ATOMIC_SPECIES
La 138.91 La.upf
Sn 118.71 Sn.upf
Pb 207.20 Pb.upf
ATOMIC_POSITIONS angstrom
La 0.000 0.000 0.000
La 0.000 0.000 5.006
La 0.000 0.000 10.078
La 0.000 0.000 15.149
La 0.000 2.523 2.503
La 0.000 2.523 7.509
La 0.000 2.523 12.647
La 0.000 2.523 17.653
La 2.523 0.000 2.503
La 2.523 0.000 7.509
La 2.523 0.000 12.647
La 2.523 0.000 17.653
Sn 2.523 2.523 0.000
Sn 2.523 2.523 5.018
Sn 2.523 2.523 15.138
Pb 2.523 2.523 10.078
CELL_PARAMETERS angstrom
5.046 0.000 0.000
0.000 5.046 0.000
0.000 0.000 20.156
! - calculated density (g/cm³) = 7.215
! - ΔE_f (eV per atom) = -0.466
! - DOS(E_F) (states/eV/cell) = 23.313

***

! LaSnPb2 (PBE-GGA, relaxed); values from VASP
&SYSTEM
  ibrav = 0, nat = 4, ntyp = 3
/
ATOMIC_SPECIES
La 138.91 La.upf
Sn 118.71 Sn.upf
Pb 207.20 Pb.upf
ATOMIC_POSITIONS angstrom
La 0.000 0.000 0.000
Sn 2.452 2.452 0.000
Pb 0.000 2.452 2.466
Pb 2.452 0.000 2.466
CELL_PARAMETERS angstrom
4.904 0.000 0.000
0.000 4.904 0.000
0.000 0.000 4.931
! - calculated density (g/cm³) = 9.408
! - ΔE_f (eV per atom) = -0.484
! - DOS(E_F) (states/eV/cell) = 2.309

***

! La4Sn2Pb (PBE-GGA, relaxed); values from VASP
&SYSTEM
  ibrav = 0, nat = 14, ntyp = 3
/
ATOMIC_SPECIES
La 138.91 La.upf
Sn 118.71 Sn.upf
Pb 207.20 Pb.upf
ATOMIC_POSITIONS angstrom
La 0.539 1.713 1.385
La 0.601 5.139 4.966
La 0.834 0.138 8.070
La 0.834 3.288 8.070
La 3.528 3.564 2.854
La 3.528 6.713 2.854
La 3.761 1.713 5.958
La 3.823 5.139 9.539
Sn 0.714 1.713 4.775
Sn 0.866 5.139 10.902
Sn 3.496 1.713 0.022
Sn 3.648 5.139 6.149
Pb 0.303 5.139 1.855
Pb 4.059 1.713 9.069
CELL_PARAMETERS angstrom
6.084 0.000 0.000
0.000 6.852 0.000
-1.722 0.000 10.924
! - calculated density (g/cm³) = 7.295
! - ΔE_f (eV per atom) = -0.570
! - DOS(E_F) (states/eV/cell) = 11.293

***

! La9Sn2Pb (PBE-GGA, relaxed); values from VASP
&SYSTEM
  ibrav = 0, nat = 12, ntyp = 3
/
ATOMIC_SPECIES
La 138.91 La.upf
Sn 118.71 Sn.upf
Pb 207.20 Pb.upf
ATOMIC_POSITIONS angstrom
La 0.000 0.000 0.000
La 0.000 0.000 5.070
La 0.000 0.000 10.072
La 0.000 2.523 2.569
La 0.000 2.523 7.571
La 0.000 2.523 12.574
La 2.523 0.000 2.569
La 2.523 0.000 7.571
La 2.523 0.000 12.574
Sn 2.523 2.523 5.060
Sn 2.523 2.523 10.083
Pb 2.523 2.523 0.000
CELL_PARAMETERS angstrom
5.046 0.000 0.000
0.000 5.046 0.000
0.000 0.000 15.143
! - calculated density (g/cm³) = 7.300
! - ΔE_f (eV per atom) = -0.459
! - DOS(E_F) (states/eV/cell) = 16.422